{"formula": "TcAg2", "functional": "PBE", "state": "relaxed", "m_tot_mub_per_cell": 12.47, "delta_e_f_ev_per_atom": 1.45, "e_tot_ev_per_atom": -3.904, "relative_energy_mev_per_atom": 1087.4, "lattice_angstrom": [[6.424, 0.000, 0.000], [0.000, 6.424, 0.000], [0.000, 0.000, 6.424]], "species": ["Tc", "Tc", "Tc", "Tc", "Ag", "Ag", "Ag", "Ag", "Ag", "Ag", "Ag", "Ag"], "frac_coords": [[0.000, 0.000, 0.000], [0.000, 0.500, 0.500], [0.500, 0.000, 0.500], [0.500, 0.500, 0.000], [0.124, 0.624, 0.876], [0.124, 0.876, 0.376], [0.376, 0.124, 0.876], [0.376, 0.376, 0.376], [0.624, 0.624, 0.624], [0.624, 0.876, 0.124], [0.876, 0.124, 0.624], [0.876, 0.376, 0.124]]}